Entry 1:
Ca6Cd5Rh PBE relaxed; ΔH_f (0 K) = -0.336 eV/atom; final energy = -2.33 eV per atom; space group = No. 12
1.0
-0.817 -0.253 5.259
2.603 -7.088 0.064
8.250 -0.957 4.017
Ca Cd Rh
6 5 1
Direct
0.157 0.393 0.688
0.500 0.229 0.000
0.843 0.081 0.312
0.500 0.771 0.000
0.157 0.919 0.688
0.843 0.607 0.312
0.679 0.178 0.644
0.332 0.333 0.334
0.321 0.822 0.356
0.000 0.500 0.000
0.668 0.667 0.666
0.000 0.000 0.000

***

Entry 2:
Ca11Cd9Rh4 PBE relaxed; ΔH_f (0 K) = -0.373 eV/atom; final energy = -2.86 eV per atom; space group = No. 65
1.0
-2.140 -2.668 2.209
10.576 -7.063 1.716
-1.533 8.833 9.182
Ca Cd Rh
11 9 4
Direct
0.000 0.914 0.582
0.000 0.691 0.691
0.000 0.309 0.309
0.000 0.582 0.914
0.000 0.832 0.168
0.000 0.168 0.832
0.000 0.000 0.000
0.000 0.418 0.086
0.000 0.086 0.418
0.000 0.627 0.373
0.000 0.373 0.627
0.500 0.225 0.079
0.500 0.921 0.775
0.500 0.775 0.921
0.500 0.838 0.375
0.500 0.375 0.838
0.500 0.162 0.625
0.500 0.500 0.500
0.500 0.079 0.225
0.500 0.625 0.162
0.500 0.257 0.452
0.500 0.548 0.743
0.500 0.452 0.257
0.500 0.743 0.548

***

Entry 3:
CaCdRh PBE relaxed; ΔH_f (0 K) = -0.013 eV/atom; final energy = -3.44 eV per atom; space group = No. 156
1.0
-1.913 -1.896 -2.064
1.508 -1.415 2.691
-5.415 1.374 3.758
Rh Cd Ca
1 1 1
Direct
0.333 0.667 0.666
0.667 0.333 0.370
0.000 0.000 0.964

***

Entry 4:
Ca2Cd2Rh PBE relaxed; ΔH_f (0 K) = -0.178 eV/atom; final energy = -2.81 eV per atom; space group = No. 127; energy above the lowest structure with this stoichiometry = 0.188 eV/atom
1.0
7.259 0.000 0.000
0.000 7.259 0.000
0.000 0.000 4.795
Cd Ca Rh
4 4 2
Direct
0.639 0.139 0.000
0.861 0.639 0.000
0.361 0.861 0.000
0.139 0.361 0.000
0.320 0.180 0.500
0.680 0.820 0.500
0.180 0.680 0.500
0.820 0.320 0.500
0.000 0.000 0.000
0.500 0.500 0.000

***

Entry 5:
Ca3CdRh PBE relaxed; ΔH_f (0 K) = -0.244 eV/atom; final energy = -3.10 eV per atom; space group = No. 221; energy above the lowest structure with this stoichiometry = 0.105 eV/atom
1.0
5.460 0.000 0.000
0.000 5.460 0.000
0.000 0.000 5.460
Rh Ca Cd
1 3 1
Direct
0.000 0.000 0.000
0.500 0.000 0.000
0.000 0.500 0.000
0.000 0.000 0.500
0.500 0.500 0.500

***

Entry 6:
CaCdRh PBE relaxed; ΔH_f (0 K) = -0.303 eV/atom; final energy = -3.73 eV per atom; space group = No. 47
1.0
4.517 0.000 0.000
0.000 4.833 0.000
0.000 0.000 3.255
Cd Rh Ca
1 1 1
Direct
0.500 0.000 0.500
0.000 0.000 0.000
0.000 0.500 0.500

***

Q: Among the records above, which one has the highest final energy?
A: Ca6Cd5Rh

***

Q: Which value of ΔH_f (0 K) does entry 1 give?
A: -0.336 eV/atom

***

Q: Which of these has the highest ΔH_f (0 K)?
A: number 3